# 1
Here is a relaxed structure of Cs2Li2AcI6 from Alexandria via LeMat-Bulk. Energies are from PBE-GGA.

Formation energy from raw total energies, kJ/mol of atoms: -125
Space group: C2/m
Total energy, eV per cell: -33.16
Magnetization, μB per formula unit: 1.0

Cell lengths 8.392, 8.273, 9.995 Å; angles 112.32, 90.00, 120.48 degrees
Fractional positions:
Cs1 0.703 0.405 0.181
Cs2 0.297 0.595 0.819
Li1 0.956 0.913 0.636
Li2 0.044 0.087 0.364
Ac1 0.500 0.000 0.500
I1 0.749 0.499 0.597
I2 0.213 0.899 0.204
I3 0.314 0.101 0.796
I4 0.787 0.101 0.796
I5 0.686 0.899 0.204
I6 0.251 0.501 0.403

***

# 2
Here is a relaxed structure of NaTi2BeSi from Alexandria via LeMat-Bulk. Energies are from PBE-GGA.

Formation energy from raw total energies, kJ/mol of atoms: 170
Space group: P4/mmm
Total energy, eV per cell: -17.44
Magnetization, μB per formula unit: 0.0

Cell lengths 4.548, 4.597, 4.548 Å; angles 90.00, 90.00, 90.00 degrees
Fractional positions:
Na1 0.000 0.000 0.000
Si1 0.000 0.500 0.000
Be1 0.500 0.500 0.500
Ti1 0.000 0.000 0.500
Ti2 0.500 0.000 0.000

***

# 3
Here is a relaxed structure of FeRu2 from Alexandria via LeMat-Bulk. Energies are from PBE-GGA.

Calculated formation energy, eV/atom: 0.319
Space group: I4_1/amd
Total energy, eV per cell: -52.11
Magnetization, μB per formula unit: 1.6

Cell lengths 11.550, 11.550, 11.550 Å; angles 166.74, 166.74, 18.80 degrees
Fractional positions:
Fe1 0.000 0.000 0.000
Fe2 0.750 0.250 0.500
Ru1 0.327 0.827 0.500
Ru2 0.173 0.673 0.500
Ru3 0.577 0.577 0.000
Ru4 0.423 0.423 0.000